An optimized crystal structure of AcHf2Mo. Source: Alexandria via LeMat-Bulk, functional PBE-GGA.

extended XYZ file:
```
4
Lattice="3.3254 0.0000 0.0000 1.6627 2.8799 0.0000 1.6627 0.9600 10.6547" Properties=species:S:1:pos:R:3 pbc="T T T"
Hf 4.9881 2.8799 3.3361
Hf 1.6627 0.9600 7.3186
Ac 0.0000 0.0000 0.0000
Mo 3.3254 1.9199 5.3274
```

Summary:
Symmetry   No. 166
VASP energy   -8.236 eV/atom
Polymorph energy (0 for the lowest one)   0.331 eV per atom
Total moment   0.000 μB per formula unit
Energy of formation   0.48 eV per atom
Crystal system   trigonal